{"formula": "Tl2CdSnF6", "functional": "PBE-GGA", "state": "relaxed", "lattice_angstrom": [[0.000, 4.430, 4.430], [4.430, 0.000, 4.430], [4.430, 4.430, 0.000]], "species": ["Cd", "F", "F", "F", "F", "F", "F", "Sn", "Tl", "Tl"], "frac_coords": [[0.500, 0.500, 0.500], [0.746, 0.254, 0.254], [0.254, 0.746, 0.254], [0.746, 0.746, 0.254], [0.254, 0.254, 0.746], [0.746, 0.254, 0.746], [0.254, 0.746, 0.746], [0.000, 0.000, 0.000], [0.250, 0.250, 0.250], [0.750, 0.750, 0.750]], "spacegroup": "Fm-3m", "e_tot_ev_per_atom": -4.062}